Entry 1:
Compound: InGa2Pt
Source: Alexandria via LeMat-Bulk
Functional: PBE
Structure: optimized geometry

Density of states at the Fermi level in states/eV per atom: 0.28
ΔH_f (0 K) in kJ per mole of atoms: -22
Space group: No. 166
Total magnetic moment in μB per atom: 0.00

Structure (POSCAR):
```
InGa2Pt
1.0
3.1787 0.0000 0.0000
-1.5894 2.7528 0.0000
0.0000 0.0000 27.6198
In Ga Pt
3 6 3
direct
0.0000 0.0000 0.0000
0.3333 0.6667 0.6667
0.6667 0.3333 0.3333
0.0000 0.0000 0.0999
0.0000 0.0000 0.9001
0.3333 0.6667 0.5667
0.3333 0.6667 0.7666
0.6667 0.3333 0.2334
0.6667 0.3333 0.4333
0.0000 0.0000 0.5000
0.3333 0.6667 0.1667
0.6667 0.3333 0.8333
```


Entry 2:
Compound: Pu2InGaPt6
Source: Alexandria via LeMat-Bulk
Functional: PBE
Structure: optimized geometry

Density of states at the Fermi level in states/eV per atom: 2.46
ΔH_f (0 K) in kJ per mole of atoms: -55
Space group: No. 12
Total magnetic moment in μB per atom: 1.05

Structure (POSCAR):
```
Pu2InGaPt6
1.0
4.8152 -2.7804 0.0000
4.8152 2.7804 0.0000
-3.1995 0.0000 8.4327
Pu In Ga Pt
2 1 1 6
direct
0.1974 0.1974 0.0922
0.8026 0.8026 0.9078
0.0000 0.0000 0.5000
0.5000 0.5000 0.0000
0.2409 0.7447 0.2308
0.2553 0.2553 0.7691
0.2553 0.7591 0.7692
0.7447 0.2409 0.2308
0.7447 0.7447 0.2309
0.7591 0.2553 0.7692
```